! Sn2HgPPt | Alexandria via LeMat-Bulk | PBE-GGA | relaxed; values from VASP
! Total DFT energy (no corrections), eV per atom: -3.730
! ΔE_f, eV/atom: 0.222
! Fermi-level density of states, states/eV/atom: 0.678
&SYSTEM
  ibrav = 0, nat = 5, ntyp = 4
/
ATOMIC_SPECIES
Hg 200.59 Hg.upf
Sn 118.71 Sn.upf
P 30.97 P.upf
Pt 195.08 Pt.upf
ATOMIC_POSITIONS crystal
Hg 0.5000 0.5000 0.5000
Sn 0.0000 0.0000 0.5000
Sn 0.5000 0.0000 0.0000
P 0.0000 0.0000 0.0000
Pt 0.0000 0.5000 0.0000
CELL_PARAMETERS angstrom
-2.9874 1.5153 -4.3329
-3.5030 -2.1306 1.6701
-1.5136 4.5554 2.6367